# PBE Tb16Dy7Y6, relaxed
# ΔH_f (0 K) (meV per atom): 225
# Magnetization (μB/f.u.): 0.016
data_Tb16Dy7Y6
_chemical_formula_sum 'Tb64 Dy28 Y24'
_cell_length_a 15.729
_cell_length_b 15.729
_cell_length_c 15.729
_cell_angle_alpha 90.00
_cell_angle_beta 90.00
_cell_angle_gamma 90.00
_symmetry_space_group_name_H-M 'F m -3 m'
_symmetry_Int_Tables_number 225
_symmetry_space_group_name_Hall '-F 4 2 3'
loop_
_atom_site_label
_atom_site_type_symbol
_atom_site_fract_x
_atom_site_fract_y
_atom_site_fract_z
_atom_site_occupancy
Tb1 Tb 0.123 0.123 0.123 1
Tb2 Tb 0.153 0.153 0.347 1
Dy1 Dy 0.000 0.000 0.000 1
Dy2 Dy 0.000 0.250 0.250 1
Y1 Y 0.000 0.000 0.279 1